Entry 1:
## CaZrCd2Cu (PBE)

Data for crystalline CaZrCd2Cu at its relaxed geometry.

abc: 5.468 5.468 5.260
angles: 90.00 90.00 90.00
Element x y z (fractional)
Ca 0.000 0.000 0.000
Zr 0.000 0.000 0.500
Cd 0.000 0.500 0.000
Cd 0.500 0.000 0.000
Cu 0.500 0.500 0.500

Computed properties:
* SG: P4/mmm (123)
* formation energy from the elements: 1.43 eV per atom
* magnetic moment: 0.0 Bohr magnetons per cell

=====

Entry 2:
## NbTeAsN2 (PBE)

Data for crystalline NbTeAsN2 at its relaxed geometry.

abc: 3.948 3.948 5.362
angles: 90.00 90.00 90.00
Element x y z (fractional)
Nb 0.000 0.000 0.000
Te 0.500 0.500 0.000
As 0.500 0.500 0.500
N 0.000 0.500 0.500
N 0.500 0.000 0.500

Computed properties:
* E_form (uncorrected): 1.54 eV per atom
* SG: P4/mmm (123)
* E above lowest polymorph: 998 meV/atom
* magnetic moment: 0.0 Bohr magnetons per cell

=====

Entry 3:
## Ba3FeMo (PBE)

Data for crystalline Ba3FeMo at its relaxed geometry.

abc: 5.757 5.757 5.757
angles: 90.00 90.00 90.00
Element x y z (fractional)
Ba 0.000 0.000 0.500
Ba 0.000 0.500 0.000
Ba 0.500 0.000 0.000
Fe 0.000 0.000 0.000
Mo 0.500 0.500 0.500

Computed properties:
* SG: Pm-3m (221)
* formation energy from the elements: 1.21 eV per atom
* magnetic moment: 4.0 Bohr magnetons per cell

=====

Entry 4:
## RbLi2Hf2 (PBE)

Data for crystalline RbLi2Hf2 at its relaxed geometry.

abc: 4.005 4.005 20.620
angles: 90.00 90.00 90.00
Element x y z (fractional)
Rb 0.000 0.000 0.000
Rb 0.500 0.500 0.500
Li 0.000 0.000 0.367
Li 0.000 0.000 0.633
Li 0.500 0.500 0.133
Li 0.500 0.500 0.867
Hf 0.000 0.500 0.250
Hf 0.000 0.500 0.750
Hf 0.500 0.000 0.250
Hf 0.500 0.000 0.750

Computed properties:
* SG: I4/mmm (139)
* formation energy from the elements: 0.67 eV per atom
* magnetic moment: 0.0 Bohr magnetons per cell

=====

Entry 5:
## ErSc3N (PBE)

Data for crystalline ErSc3N at its relaxed geometry.

abc: 4.633 4.633 4.633
angles: 90.00 90.00 90.00
Element x y z (fractional)
Er 0.000 0.000 0.000
Sc 0.000 0.500 0.500
Sc 0.500 0.000 0.500
Sc 0.500 0.500 0.000
N 0.500 0.500 0.500

Computed properties:
* E_form (uncorrected): -0.53 eV per atom
* SG: Pm-3m (221)
* magnetic moment: 1.4 Bohr magnetons per cell

=====

Entry 6:
## LiTiMn2 (PBE)

Data for crystalline LiTiMn2 at its relaxed geometry.

abc: 6.627 6.627 5.278
angles: 90.00 90.00 90.00
Element x y z (fractional)
Li 0.000 0.000 0.000
Li 0.000 0.500 0.250
Li 0.500 0.000 0.750
Li 0.500 0.500 0.500
Ti 0.000 0.000 0.500
Ti 0.000 0.500 0.750
Ti 0.500 0.000 0.250
Ti 0.500 0.500 0.000
Mn 0.236 0.750 0.125
Mn 0.250 0.236 0.875
Mn 0.250 0.264 0.375
Mn 0.264 0.750 0.625
Mn 0.736 0.250 0.625
Mn 0.750 0.736 0.375
Mn 0.750 0.764 0.875
Mn 0.764 0.250 0.125

Computed properties:
* SG: I-42d (122)
* formation energy from the elements: 0.50 eV per atom
* magnetic moment: 19.8 Bohr magnetons per cell

=====

Entry 7:
## PmHo2ThP4 (PBE)

Data for crystalline PmHo2ThP4 at its relaxed geometry.

abc: 7.019 4.070 7.043
angles: 90.00 109.49 90.00
Element x y z (fractional)
Pm 0.000 0.000 0.000
Ho 0.500 0.000 0.500
Ho 0.500 0.500 0.000
Th 0.000 0.500 0.500
P 0.258 0.000 0.752
P 0.258 0.500 0.254
P 0.742 0.000 0.248
P 0.742 0.500 0.746

Computed properties:
* SG: P2/m (10)
* formation energy from the elements: -1.60 eV per atom
* magnetic moment: 0.0 Bohr magnetons per cell

=====

Entry 8:
## ZnCoTe2 (PBE)

Data for crystalline ZnCoTe2 at its relaxed geometry.

abc: 6.655 3.844 7.027
angles: 90.00 108.69 90.00
Element x y z (fractional)
Zn 0.000 0.000 0.000
Zn 0.500 0.500 0.000
Co 0.000 0.500 0.500
Co 0.500 0.000 0.500
Te 0.235 0.000 0.703
Te 0.265 0.500 0.297
Te 0.735 0.500 0.703
Te 0.765 0.000 0.297

Computed properties:
* E_form (uncorrected): -0.04 eV per atom
* SG: C2/m (12)
* magnetic moment: 0.0 Bohr magnetons per cell